Record 1
# TbAlGaTe3

A relaxed TbAlGaTe3 crystal (PBE-GGA, OQMD).

The structure in POSCAR format:
```
TbAlGaTe3
1.0
2.1528 -7.2560 0.0000
2.1528 7.2560 0.0000
0.0000 0.0000 11.4302
Te Ga Al Tb
6 2 2 2
Direct
0.6458 0.3542 0.5642
0.0897 0.9103 0.2500
0.9103 0.0897 0.7500
0.6458 0.3542 0.9358
0.3542 0.6458 0.4358
0.3542 0.6458 0.0642
0.7806 0.2194 0.2500
0.2194 0.7806 0.7500
0.5317 0.4683 0.7500
0.4683 0.5317 0.2500
0.0000 0.0000 0.5000
0.0000 0.0000 0.0000
```

As for the total magnetic moment: 0.006 μB per formula unit. The final energy is -4.08 eV per atom. The calculation puts the calculated density at 5.9 g/cm3.

=====

Record 2
# NbAsWC

A relaxed NbAsWC crystal (PBE-GGA, OQMD).

The structure in POSCAR format:
```
NbAsWC
1.0
-0.1546 2.5803 2.0660
-2.6292 -1.9724 -0.3835
3.8878 -6.9190 8.9322
As C Nb W
2 2 2 2
Direct
0.6667 0.3333 0.7576
0.3333 0.6667 0.2424
0.0000 0.0000 0.5000
0.0000 0.0000 0.0000
0.6667 0.3333 0.4041
0.3333 0.6667 0.5959
0.6667 0.3333 0.0867
0.3333 0.6667 0.9133
```

As for the total magnetic moment: 0.001 μB per formula unit. The final energy is -9.44 eV per atom. The calculation puts the calculated density at 10.7 g/cm3.

=====

Record 3
# TlCuTcSe3

A relaxed TlCuTcSe3 crystal (PBE-GGA, OQMD).

The structure in POSCAR format:
```
TlCuTcSe3
1.0
8.9538 0.0000 0.0000
0.0000 3.8311 0.0000
0.0000 0.0000 15.4971
Cu Tl Se Tc
4 4 12 4
Direct
0.6916 0.2500 0.8624
0.1916 0.2500 0.6376
0.8084 0.7500 0.3624
0.3084 0.7500 0.1376
0.5495 0.2500 0.3356
0.4505 0.7500 0.6644
0.0495 0.2500 0.1644
0.9505 0.7500 0.8356
0.2110 0.2500 0.7909
0.2890 0.7500 0.2909
0.7110 0.2500 0.7091
0.6908 0.7500 0.5092
0.4668 0.2500 0.0815
0.7890 0.7500 0.2091
0.1908 0.7500 0.9908
0.9668 0.2500 0.4185
0.5332 0.7500 0.9185
0.0332 0.7500 0.5815
0.3092 0.2500 0.4908
0.8092 0.2500 0.0092
0.6600 0.7500 0.0733
0.1600 0.7500 0.4267
0.3400 0.2500 0.9267
0.8400 0.2500 0.5733
```

As for the total magnetic moment: 0.019 μB per formula unit. The energy above the most stable polymorph in this dataset is 0.771 eV/f.u. The final energy is -4.60 eV per atom. The calculation puts the calculated density at 7.5 g/cm3.

=====

Record 4
# MoPb

A relaxed MoPb crystal (PBE-GGA, OQMD).

The structure in POSCAR format:
```
MoPb
1.0
-1.6585 2.0015 3.0760
-0.5312 3.9846 -0.2429
-3.7131 1.5186 -0.3538
Mo Pb
1 1
Direct
0.0000 0.0000 0.0000
0.5000 0.5000 0.5000
```

As for the total magnetic moment: 1.954 μB per formula unit. The energy above the most stable polymorph in this dataset is 0.839 eV/f.u. The final energy is -6.04 eV per atom. The calculation puts the calculated density at 10.9 g/cm3.

=====

Record 5
# NiHgBiPt

A relaxed NiHgBiPt crystal (PBE-GGA, OQMD).

The structure in POSCAR format:
```
NiHgBiPt
1.0
0.0000 3.3698 3.3698
3.3698 0.0000 3.3698
3.3698 3.3698 0.0000
Hg Pt Ni Bi
1 1 1 1
Direct
0.2500 0.2500 0.2500
0.5000 0.5000 0.5000
0.7500 0.7500 0.7500
0.0000 0.0000 0.0000
```

As for the total magnetic moment: 0.006 μB per formula unit. The energy above the most stable polymorph in this dataset is 0.575 eV/f.u. The final energy is -3.70 eV per atom. The calculation puts the calculated density at 14.4 g/cm3.

=====

Record 6
# InTcSn4

A relaxed InTcSn4 crystal (PBE-GGA, OQMD).

The structure in POSCAR format:
```
InTcSn4
1.0
1.7682 5.6184 3.4133
-6.5408 1.8599 0.3189
-0.6187 -3.1106 5.4396
Sn In Tc
8 2 2
Direct
0.8824 0.6841 0.4992
0.6845 0.1175 0.5012
0.8825 0.3155 0.9988
0.1176 0.3159 0.5008
0.3155 0.8825 0.4988
0.3159 0.1176 0.0008
0.6841 0.8824 0.9992
0.1175 0.6845 0.0012
0.4998 0.5002 0.7500
0.5002 0.4998 0.2500
0.0017 0.9983 0.7500
0.9983 0.0017 0.2500
```

As for the total magnetic moment: 0.002 μB per formula unit. The final energy is -4.86 eV per atom. The calculation puts the calculated density at 7.8 g/cm3.